The following is a DFT calculation (GGA-PBE) of a relaxed structure of Os3Rh2.

Results
Final energy: -42.7 eV/f.u.
Calculated formation energy: 1.1412 eV per atom
Offset from the most stable computed form: 901 meV per atom

Lattice parameters (Å, degrees): 3.6608 3.6608 22.2296 90.00 90.00 120.00
Space group R-3m (No. 166, hexagonal axes)
Asymmetric unit:
Os 0.0000 0.0000 0.0000 [3 per cell]
Os 0.0000 0.0000 0.1913 [6 per cell]
Rh 0.0000 0.0000 0.3930 [6 per cell]